1.
A plane-wave DFT calculation with PBE-GGA was carried out for Li2TaTl after structural relaxation.

Calculated values
Its density of states at the Fermi level is 1.35 states/eV per cell. The total energy is -16.1 eV/cell. Its symmetry is No. 139. As for the energy of formation: 1.994 eV per formula unit.

a = 5.176 Å, b = 5.176 Å, c = 5.176 Å
α = 132.54°, β = 132.54°, γ = 69.38°
Fractional coordinates of all 4 atoms:
Li1 0.250 0.750 0.500
Li2 0.750 0.250 0.500
Ta1 0.000 0.000 0.000
Tl1 0.500 0.500 0.000

---

2.
A plane-wave DFT calculation with PBE-GGA was carried out for NaTl5Cl6 after structural relaxation.

Calculated values
Its density of states at the Fermi level is 0.00 states/eV per cell. The total energy is -37.9 eV/cell. Its symmetry is No. 12. The uncorrected formation energy comes out at -1136 meV/atom.

a = 7.812 Å, b = 7.812 Å, c = 7.786 Å
α = 99.66°, β = 99.66°, γ = 119.66°
Fractional coordinates of all 12 atoms:
Na1 0.000 0.000 0.000
Tl1 0.168 0.832 0.500
Tl2 0.333 0.667 0.000
Tl3 0.500 0.500 0.500
Tl4 0.667 0.333 0.000
Tl5 0.832 0.168 0.500
Cl1 0.076 0.380 0.230
Cl2 0.227 0.227 0.752
Cl3 0.380 0.076 0.230
Cl4 0.620 0.924 0.770
Cl5 0.773 0.773 0.248
Cl6 0.924 0.620 0.770

---

3.
A plane-wave DFT calculation with PBE-GGA was carried out for KMg2Pt after structural relaxation.

Calculated values
Its density of states at the Fermi level is 1.58 states/eV per cell. The total energy is -10.0 eV/cell. As for the offset from the most stable computed form: 1.59 eV per formula unit. Its symmetry is No. 119. As for the energy of formation: 0.343 eV per formula unit.

a = 5.320 Å, b = 5.320 Å, c = 5.320 Å
α = 127.59°, β = 127.59°, γ = 77.28°
Fractional coordinates of all 4 atoms:
K1 0.000 0.000 0.000
Mg1 0.250 0.750 0.500
Mg2 0.500 0.500 0.000
Pt1 0.750 0.250 0.500